Entry 1:
Below is a relaxed structure of Nd6Si2GeBr3, with properties calculated at the PBE level.

Cell: 9.8234 9.8234 8.8272 Å, 105.39 105.39 25.22°
Last column: nearest neighbours and their distance in Å.
Atoms (fractional coordinates):
Nd 0.0099 0.0099 0.2320  1 Si 2.89, 2 Ge 2.94, 2 Br 3.24
Nd 0.3245 0.3245 0.4373  3 Si 2.91-2.92, 3 Br 3.25-3.26
Nd 0.3402 0.3402 0.8915  2 Si 2.91, 1 Ge 2.95, 1 Br 3.24
Nd 0.6598 0.6598 0.1085  2 Si 2.91, 1 Ge 2.95, 1 Br 3.24
Nd 0.6755 0.6755 0.5627  3 Si 2.91-2.92, 3 Br 3.25-3.26
Nd 0.9901 0.9901 0.7680  1 Si 2.89, 2 Ge 2.94, 2 Br 3.24
Si 0.1668 0.1668 0.3343  6 Nd 2.89-2.92
Si 0.8332 0.8332 0.6657  6 Nd 2.89-2.92
Ge 0.5000 0.5000 0.0000  6 Nd 2.94-2.95
Br 0.1661 0.1661 0.8336  6 Nd 3.24-3.27
Br 0.5000 0.5000 0.5000  6 Nd 3.24-3.26
Br 0.8339 0.8339 0.1664  6 Nd 3.24-3.27

Output
energy relative to the elements, uncorrected = -1105 meV per atom

***

Entry 2:
Below is a relaxed structure of Nd8Si3GeBr4, with properties calculated at the PBE level.

Cell: 8.5613 8.5613 8.8486 Å, 118.93 118.93 60.00°
Last column: nearest neighbours and their distance in Å.
Atoms (fractional coordinates):
Nd 0.2343 0.7390 0.7114  2 Si 2.91, 1 Ge 2.94, 1 Br 3.24
Nd 0.2372 0.2372 0.7105  3 Si 2.91-2.92, 3 Br 3.26
Nd 0.2610 0.7657 0.2886  2 Si 2.91, 1 Ge 2.94, 1 Br 3.24
Nd 0.2623 0.2623 0.2894  2 Si 2.91, 1 Ge 2.93, 1 Br 3.25
Nd 0.7377 0.7377 0.7106  2 Si 2.91, 1 Ge 2.93, 1 Br 3.25
Nd 0.7390 0.2343 0.7114  2 Si 2.91, 1 Ge 2.94, 1 Br 3.24
Nd 0.7628 0.7628 0.2895  3 Si 2.91-2.92, 3 Br 3.26
Nd 0.7657 0.2610 0.2886  2 Si 2.91, 1 Ge 2.94, 1 Br 3.24
Si 0.0000 0.0000 0.5000  6 Nd 2.91-2.92
Si 0.0000 0.5000 0.5000  6 Nd 2.91
Si 0.5000 0.0000 0.5000  6 Nd 2.91
Ge 0.5000 0.5000 0.5000  6 Nd 2.93-2.94
Br 0.0000 0.0000 0.0000  6 Nd 3.24-3.25
Br 0.0000 0.5000 0.0000  6 Nd 3.26
Br 0.5000 0.0000 0.0000  6 Nd 3.26
Br 0.5000 0.5000 0.0000  6 Nd 3.26-3.27

Output
energy relative to the elements, uncorrected = -1104 meV per atom

***

Number 1: uncorrected energy -5.20 eV/atom. Number 2: uncorrected energy -5.21 eV/atom.